Ca6Ge2Pb | PBE-GGA | relaxed

Lattice parameters (Å, degrees): 8.949 8.949 8.949 104.52 110.98 113.02
Each line ends with the local moment (μB).
Fractional coordinates of all 18 atoms:
1 Ca 0.463 0.280 0.182  0.05
2 Ca 0.537 0.720 0.818  0.05
3 Ca 0.902 0.720 0.182  0.05
4 Ca 0.098 0.280 0.818  0.05
5 Ca 0.202 0.757 0.959  0.06
6 Ca 0.798 0.243 0.041  0.06
7 Ca 0.798 0.757 0.555  0.06
8 Ca 0.202 0.243 0.445  0.06
9 Ca 0.310 0.979 0.669  0.06
10 Ca 0.690 0.021 0.331  0.06
11 Ca 0.690 0.359 0.669  0.06
12 Ca 0.310 0.641 0.331  0.06
13 Ge 0.500 0.381 0.881  0.03
14 Ge 0.500 0.619 0.119  0.03
15 Ge 0.340 0.000 0.340  0.02
16 Ge 0.660 0.000 0.660  0.02
17 Pb 0.000 0.500 0.500  0.02
18 Pb 0.000 0.000 0.000  0.01

SG: Immm, No. 71
VASP energy: -3.30 eV per atom

---

Ca4Ag2H | PBE-GGA | relaxed

Lattice parameters (Å, degrees): 4.697 4.697 8.903 105.30 105.30 90.00
Fractional coordinates of all 7 atoms:
1 H 0.000 0.000 0.000
2 Ca 0.819 0.819 0.638
3 Ca 0.181 0.181 0.362
4 Ca 0.000 0.500 0.000
5 Ca 0.500 0.000 0.000
6 Ag 0.630 0.630 0.260
7 Ag 0.370 0.370 0.740

SG: I4/mmm, No. 139
VASP energy: -2.70 eV per atom

---

NdDyRh | PBE-GGA | relaxed

Lattice parameters (Å, degrees): 6.279 4.077 4.077 120.00 90.00 90.00
Fractional coordinates of all 3 atoms:
1 Rh 0.008 0.000 0.000
2 Nd 0.757 0.667 0.333
3 Dy 0.235 0.333 0.667

SG: P3m1, No. 156
VASP energy: -6.05 eV per atom

---

MnSiOs2 | PBE-GGA | relaxed

Lattice parameters (Å, degrees): 4.212 4.212 4.212 60.00 60.00 60.00
Each line ends with the local moment (μB).
Fractional coordinates of all 4 atoms:
1 Mn 0.500 0.500 0.500  0.14
2 Os 0.000 0.000 0.000  -0.03
3 Os 0.250 0.250 0.250  0.03
4 Si 0.750 0.750 0.750  0.00

ΔE_f (raw): 0.25 eV/atom
SG: F-43m, No. 216
VASP energy: -9.01 eV per atom

---

Zn4MoIr | PBE-GGA | relaxed

Lattice parameters (Å, degrees): 4.935 4.935 4.935 60.00 60.00 60.00
Each line ends with the local moment (μB).
Fractional coordinates of all 6 atoms:
1 Zn 0.875 0.375 0.375  0.01
2 Zn 0.375 0.375 0.875  0.01
3 Zn 0.375 0.875 0.375  0.01
4 Zn 0.375 0.375 0.375  0.01
5 Mo 0.000 0.000 0.000  1.78
6 Ir 0.750 0.750 0.750  0.43

SG: F-43m, No. 216
VASP energy: -4.02 eV per atom

---

CoP2Se | PBE-GGA | relaxed

Lattice parameters (Å, degrees): 2.692 2.692 8.685 90.00 90.00 90.00
Fractional coordinates of all 4 atoms:
1 Co 0.500 0.500 0.794
2 P 0.000 0.000 0.942
3 P 0.500 0.500 0.198
4 Se 0.000 0.000 0.566

ΔE_f (raw): 0.33 eV/atom
SG: P4mm, No. 99
VASP energy: -5.02 eV per atom

---

SrMg3Si | PBE-GGA | relaxed

Lattice parameters (Å, degrees): 5.248 5.248 5.248 90.00 90.00 90.00
Fractional coordinates of all 5 atoms:
1 Sr 0.500 0.500 0.500
2 Si 0.000 0.000 0.000
3 Mg 0.000 0.500 0.000
4 Mg 0.000 0.000 0.500
5 Mg 0.500 0.000 0.000

ΔE_f (raw): 0.12 eV/atom
SG: Pm-3m, No. 221
VASP energy: -2.26 eV per atom

---

ErTm2Pb | PBE-GGA | relaxed

Lattice parameters (Å, degrees): 3.456 3.456 12.034 81.75 81.75 60.00
Each line ends with the local moment (μB).
Fractional coordinates of all 4 atoms:
1 Pb 0.500 0.500 0.500  0.00
2 Tm 0.093 0.093 0.721  0.17
3 Tm 0.907 0.907 0.279  0.17
4 Er 0.000 0.000 0.000  0.41

SG: R-3m, No. 166
VASP energy: -4.18 eV per atom

---

Mn2IrOs | PBE-GGA | relaxed

Lattice parameters (Å, degrees): 4.564 4.564 4.530 80.57 80.57 33.89
Each line ends with the local moment (μB).
Fractional coordinates of all 4 atoms:
1 Ir 0.750 0.750 0.761  -0.09
2 Mn 0.001 0.001 0.001  1.51
3 Mn 0.249 0.249 0.253  1.21
4 Os 0.500 0.500 0.485  -0.16

SG: Cm, No. 8
VASP energy: -9.60 eV per atom

---

K3NiAg2Br8 | PBE-GGA | relaxed

Lattice parameters (Å, degrees): 7.363 7.363 9.855 90.00 90.00 120.00
Each line ends with the local moment (μB).
Fractional coordinates of all 14 atoms:
1 K 0.333 0.667 0.612  0.00
2 K 0.667 0.333 0.388  0.00
3 K 0.000 0.000 0.000  0.00
4 Ni 0.000 0.000 0.500  0.70
5 Ag 0.333 0.667 0.192  0.01
6 Ag 0.667 0.333 0.808  0.01
7 Br 0.333 0.667 0.937  0.01
8 Br 0.667 0.333 0.063  0.01
9 Br 0.157 0.843 0.348  0.02
10 Br 0.843 0.157 0.652  0.02
11 Br 0.157 0.315 0.348  0.02
12 Br 0.843 0.685 0.652  0.02
13 Br 0.685 0.843 0.348  0.02
14 Br 0.315 0.157 0.652  0.02

ΔE_f (raw): -0.86 eV/atom
SG: P-3m1, No. 164
VASP energy: -2.87 eV per atom

---

Sr3Hg | PBE-GGA | relaxed

Lattice parameters (Å, degrees): 7.837 7.837 7.702 99.10 99.10 120.60
Fractional coordinates of all 8 atoms:
1 Sr 0.911 0.588 0.268
2 Sr 0.588 0.911 0.268
3 Sr 0.740 0.740 0.752
4 Sr 0.260 0.260 0.248
5 Sr 0.412 0.089 0.732
6 Sr 0.089 0.412 0.732
7 Hg 0.829 0.171 0.000
8 Hg 0.171 0.829 0.000

SG: C2/m, No. 12
VASP energy: -1.55 eV per atom

---

Sr3Li2Ac2Pt4 | PBE-GGA | relaxed

Lattice parameters (Å, degrees): 4.432 4.432 18.601 90.00 90.00 120.00
Fractional coordinates of all 11 atoms:
1 Sr 0.000 0.000 0.778
2 Sr 0.000 0.000 0.000
3 Sr 0.000 0.000 0.222
4 Li 0.667 0.333 0.889
5 Li 0.333 0.667 0.111
6 Ac 0.667 0.333 0.403
7 Ac 0.333 0.667 0.597
8 Pt 0.667 0.333 0.108
9 Pt 0.333 0.667 0.892
10 Pt 0.667 0.333 0.677
11 Pt 0.333 0.667 0.323

SG: P-3m1, No. 164
VASP energy: -4.45 eV per atom